# Rb2MoO4 PBE with a Hubbard U relaxed
data_Rb2MoO4
_chemical_formula_sum 'Rb8 Mo4 O16'
_cell_length_a 13.015
_cell_length_b 6.423
_cell_length_c 8.014
_cell_angle_alpha 90.00
_cell_angle_beta 116.04
_cell_angle_gamma 90.00
_space_group_name_H-M_alt 'C 1 2/m 1'
_space_group_IT_number 12
loop_
_space_group_symop_operation_xyz
'x,y,z'
'-x,-y,-z'
'-x,y,-z'
'x,-y,z'
'x+1/2,y+1/2,z'
'-x+1/2,-y+1/2,-z'
'-x+1/2,y+1/2,-z'
'x+1/2,-y+1/2,z'
loop_
_atom_site_label
_atom_site_fract_x
_atom_site_fract_y
_atom_site_fract_z
Rb1 0.013 0.000 0.238
Rb2 0.156 0.500 0.749
Mo1 0.176 0.500 0.226
O1 0.094 0.500 0.358
O2 0.143 0.270 0.083
O3 0.172 0.000 0.627
# size of the total moment = 0.01 μB per cell
# ΔE to the lowest computed polymorph = 0.00 eV/f.u.
# total energy = -0.2207 hartree per atom